! KLiSe2N PBEsol optimized geometry; values from VASP
! E_form (uncorrected) in eV per atom: 0.43
! Calculated volume in A^3/atom: 21.406
! Space-group type: P4/mmm, No. 123
! Total magnetic moment in Bohr magnetons per cell: 2.99
&SYSTEM
  ibrav = 0, nat = 5, ntyp = 4
/
ATOMIC_SPECIES
K 39.10 K.upf
Li 6.94 Li.upf
Se 78.96 Se.upf
N 14.01 N.upf
CELL_PARAMETERS angstrom
-0.753 4.262 1.843
-4.267 0.102 -1.979
-1.884 -2.044 3.957
ATOMIC_POSITIONS crystal
K 0.500 0.500 0.500
Li 0.000 0.000 0.000
Se 0.000 0.500 0.000
Se 0.500 0.000 0.000
N 0.000 0.000 0.500

***

! KNaLi3 PBEsol optimized geometry; values from VASP
! Distance to the lowest polymorph of the same formula in meV/atom: 261.6
! E_form in eV/atom: 0.521
! Calculated volume in A^3/atom: 40.822
! Space-group type: Pm-3m, No. 221
! Total magnetic moment in Bohr magnetons per cell: 0.00
&SYSTEM
  ibrav = 0, nat = 5, ntyp = 3
/
ATOMIC_SPECIES
Na 22.99 Na.upf
K 39.10 K.upf
Li 6.94 Li.upf
CELL_PARAMETERS angstrom
5.888 0.000 0.000
0.000 5.888 0.000
0.000 0.000 5.888
ATOMIC_POSITIONS crystal
Na 0.500 0.500 0.500
K 0.000 0.000 0.000
Li 0.000 0.500 0.000
Li 0.000 0.000 0.500
Li 0.500 0.000 0.000

***

! K2NaLi2 PBEsol optimized geometry; values from VASP
! E_form in eV/atom: 0.116
! Calculated volume in A^3/atom: 42.638
! Space-group type: P4/mbm, No. 127
! Total magnetic moment in Bohr magnetons per cell: 0.00
&SYSTEM
  ibrav = 0, nat = 10, ntyp = 3
/
ATOMIC_SPECIES
Na 22.99 Na.upf
K 39.10 K.upf
Li 6.94 Li.upf
CELL_PARAMETERS angstrom
6.000 0.000 0.000
0.000 8.430 0.000
0.000 0.000 8.430
ATOMIC_POSITIONS crystal
Na 0.000 0.000 0.000
Na 0.000 0.500 0.500
K 0.500 0.179 0.679
K 0.500 0.679 0.821
K 0.500 0.821 0.321
K 0.500 0.321 0.179
Li 0.000 0.374 0.874
Li 0.000 0.874 0.626
Li 0.000 0.626 0.126
Li 0.000 0.126 0.374

***

! KNaLi3 PBEsol optimized geometry; values from VASP
! Distance to the lowest polymorph of the same formula in meV/atom: 0.0
! E_form in eV/atom: 0.259
! Calculated volume in A^3/atom: 37.095
! Space-group type: Pm-3m, No. 221
! Total magnetic moment in Bohr magnetons per cell: 0.00
&SYSTEM
  ibrav = 0, nat = 5, ntyp = 3
/
ATOMIC_SPECIES
Na 22.99 Na.upf
K 39.10 K.upf
Li 6.94 Li.upf
CELL_PARAMETERS angstrom
5.703 0.000 0.000
0.000 5.703 0.000
0.000 0.000 5.703
ATOMIC_POSITIONS crystal
Na 0.000 0.000 0.000
K 0.500 0.500 0.500
Li 0.000 0.500 0.000
Li 0.000 0.000 0.500
Li 0.500 0.000 0.000

***

! K2Na2Li PBEsol optimized geometry; values from VASP
! E_form in eV/atom: 0.086
! Calculated volume in A^3/atom: 46.729
! Space-group type: P4/mbm, No. 127
! Total magnetic moment in Bohr magnetons per cell: 0.00
&SYSTEM
  ibrav = 0, nat = 10, ntyp = 3
/
ATOMIC_SPECIES
Na 22.99 Na.upf
K 39.10 K.upf
Li 6.94 Li.upf
CELL_PARAMETERS angstrom
-5.107 2.240 2.832
-4.489 -6.898 -2.640
2.177 -4.188 7.241
ATOMIC_POSITIONS crystal
Na 0.000 0.358 0.858
Na 0.000 0.858 0.642
Na 0.000 0.642 0.142
Na 0.000 0.142 0.358
K 0.500 0.179 0.679
K 0.500 0.679 0.821
K 0.500 0.821 0.321
K 0.500 0.321 0.179
Li 0.000 0.000 0.000
Li 0.000 0.500 0.500

***

! K3Na2LiTeO6 PBEsol optimized geometry; values from VASP
! E_form (uncorrected) in eV per atom: -1.55
! Calculated volume in A^3/atom: 14.301
! Space-group type: Cc, No. 9
! Total magnetic moment in Bohr magnetons per cell: 0.00
&SYSTEM
  ibrav = 0, nat = 26, ntyp = 5
/
ATOMIC_SPECIES
K 39.10 K.upf
Na 22.99 Na.upf
Li 6.94 Li.upf
Te 127.60 Te.upf
O 16.00 O.upf
CELL_PARAMETERS angstrom
6.784 0.002 0.003
-0.300 7.518 -0.001
-0.300 -1.839 7.290
ATOMIC_POSITIONS crystal
K 0.777 0.407 0.374
K 0.433 0.108 0.013
K 0.244 0.702 0.783
K 0.277 0.374 0.407
K 0.933 0.013 0.108
K 0.744 0.783 0.702
Na 0.896 0.613 0.071
Na 0.396 0.071 0.613
Na 0.593 0.431 0.859
Na 0.093 0.859 0.431
Li 0.247 0.472 0.033
Li 0.747 0.033 0.472
Te 0.998 0.243 0.757
Te 0.498 0.757 0.243
O 0.509 0.029 0.323
O 0.599 0.768 0.006
O 0.901 0.482 0.744
O 0.223 0.743 0.142
O 0.099 0.006 0.768
O 0.723 0.142 0.743
O 0.009 0.323 0.029
O 0.497 0.486 0.164
O 0.997 0.164 0.486
O 0.272 0.346 0.769
O 0.401 0.744 0.482
O 0.772 0.769 0.346

***

! KLiNb3 PBEsol optimized geometry; values from VASP
! E_form in eV/atom: 2.576
! Calculated volume in A^3/atom: 19.594
! Space-group type: Pm-3m, No. 221
! Total magnetic moment in Bohr magnetons per cell: 0.00
&SYSTEM
  ibrav = 0, nat = 5, ntyp = 3
/
ATOMIC_SPECIES
Nb 92.91 Nb.upf
K 39.10 K.upf
Li 6.94 Li.upf
CELL_PARAMETERS angstrom
4.610 0.000 0.000
0.000 4.610 0.000
0.000 0.000 4.610
ATOMIC_POSITIONS crystal
Nb 0.000 0.500 0.000
Nb 0.000 0.000 0.500
Nb 0.500 0.000 0.000
K 0.000 0.000 0.000
Li 0.500 0.500 0.500

***

! KLi4NbO5 PBEsol optimized geometry; values from VASP
! E_form (uncorrected) in eV per atom: -2.20
! Calculated volume in A^3/atom: 10.900
! Space-group type: P-1, No. 2
! Total magnetic moment in Bohr magnetons per cell: 0.00
&SYSTEM
  ibrav = 0, nat = 22, ntyp = 4
/
ATOMIC_SPECIES
K 39.10 K.upf
Li 6.94 Li.upf
Nb 92.91 Nb.upf
O 16.00 O.upf
CELL_PARAMETERS angstrom
5.780 -0.001 0.000
2.873 5.158 0.020
1.561 -0.579 8.041
ATOMIC_POSITIONS crystal
K 0.619 0.229 0.578
K 0.381 0.771 0.422
Li 0.341 0.999 0.121
Li 0.659 0.001 0.879
Li 0.598 0.608 0.912
Li 0.886 0.664 0.613
Li 0.093 0.603 0.895
Li 0.402 0.392 0.088
Li 0.114 0.336 0.387
Li 0.907 0.397 0.105
Nb 0.144 0.061 0.804
Nb 0.856 0.939 0.196
O 0.778 0.234 0.970
O 0.523 0.819 0.723
O 0.222 0.766 0.030
O 0.259 0.246 0.950
O 0.477 0.181 0.277
O 0.928 0.707 0.367
O 0.022 0.839 0.720
O 0.741 0.754 0.050
O 0.072 0.293 0.633
O 0.978 0.161 0.280